DFT (GGA-PBE) results for a relaxed Ir4Se3 crystal.

Values from the calculation:
The value obtained for the total DFT energy (no corrections) is -6.13 eV/atom. The value obtained for the distance to the lowest polymorph of the same formula is 0.0 meV per atom. For the magnetic moment, the calculation gives 0.0 μB/cell. Its formation energy without anion corrections is 0.4230 eV per atom. The volume comes out at 18.0 Å³/atom.

Cell: 11.407 11.407 11.407 Å, 163.04 163.04 24.08°
Fractional coordinates of all 7 atoms:
Ir: 0.063 0.063 0.000
Ir: 0.367 0.367 0.000
Ir: 0.633 0.633 0.000
Ir: 0.937 0.937 0.000
Se: 0.175 0.175 0.000
Se: 0.500 0.500 0.000
Se: 0.825 0.825 0.000

DFT (GGA-PBE) results for a relaxed Ir3Se8 crystal.

Values from the calculation:
The value obtained for the total DFT energy (no corrections) is -5.24 eV/atom. For the magnetic moment, the calculation gives 0.0 μB/cell. Its formation energy without anion corrections is -0.2915 eV per atom. The volume comes out at 20.2 Å³/atom.

Cell: 6.055 6.055 6.055 Å, 90.51 90.51 90.51°
Fractional coordinates of all 11 atoms:
Ir: 0.000 0.500 0.500
Ir: 0.500 0.000 0.500
Ir: 0.500 0.500 0.000
Se: 0.116 0.879 0.382
Se: 0.121 0.618 0.884
Se: 0.375 0.375 0.375
Se: 0.382 0.116 0.879
Se: 0.618 0.884 0.121
Se: 0.625 0.625 0.625
Se: 0.879 0.382 0.116
Se: 0.884 0.121 0.618

- What is the formula in the second record?
  Ir3Se8